A relaxed MoRu2Au crystal, computed with GGA-PBE.

Properties
- E_tot: -31.80 eV per cell
- ΔH_f (0 K): 0.2154 eV per atom
- SG: No. 123
- Crystal system: tetragonal

POSCAR file:
```
MoRu2Au
1.0
-0.926 -3.510 -1.064
3.557 -1.322 1.265
-1.546 -0.690 3.624
Ru Au Mo
2 1 1
direct
0.000 0.000 0.000 Ru
0.000 0.500 0.500 Ru
0.500 0.500 0.000 Au
0.500 0.000 0.500 Mo
```